[1]
Compound: Sr4SnHg
Source: the Alexandria database
Functional: GGA-PBE
Structure: relaxed

E	-26.3	eV per cell
calculated volume	42.6	A^3/atom
space group	P-1, No. 2
spin magnetization	0.0	Bohr magnetons per cell

Lattice parameters (Å, degrees): 8.0299 6.9614 11.2208 105.53 120.23 92.14
With the nearest neighbours (Å) after each atom.
Fractional positions:
Sr 0.9955 0.0325 0.3318  2 Hg 3.28-3.55, 1 Sn 3.42
Sr 0.2342 0.5419 0.3283  2 Hg 3.24-3.35, 2 Sn 3.43-3.53
Sr 0.0045 0.9675 0.6682  2 Hg 3.28-3.55, 1 Sn 3.42
Sr 0.2915 0.9353 0.1172  3 Sn 3.47-3.78, 1 Hg 3.62
Sr 0.7085 0.0647 0.8828  3 Sn 3.47-3.78, 1 Hg 3.62
Sn 0.8571 0.6391 0.0198  1 Sn 3.18, 5 Sr 3.37-3.53
Sr 0.6383 0.4889 0.1984  1 Hg 3.14, 1 Sn 3.37
Sr 0.3617 0.5111 0.8016  1 Hg 3.14, 1 Sn 3.37
Hg 0.0000 0.5000 0.5000  6 Sr 3.14-3.35
Sr 0.7658 0.4581 0.6717  2 Hg 3.24-3.35, 2 Sn 3.43-3.53
Hg 0.5000 0.0000 0.5000  6 Sr 3.24-3.62
Sn 0.1429 0.3609 0.9802  1 Sn 3.18, 5 Sr 3.37-3.53


[2]
Compound: DySb2Pd7
Source: the Alexandria database
Functional: GGA-PBE
Structure: relaxed

raw formation energy	-0.316	eV/atom
calculated volume	22.1	A^3/atom
energy relative to the lowest polymorph listed for this composition	281	meV/atom
space group	Cmmm, No. 65
spin magnetization	0.0	Bohr magnetons per cell

Lattice parameters (Å, degrees): 4.5339 7.5089 7.5090 120.12 90.00 90.00
With the nearest neighbours (Å) after each atom.
Fractional positions:
Pd 0.0000 0.7894 0.2106  2 Sb 2.56, 1 Dy 2.74
Sb 0.5000 0.3027 0.6973  7 Pd 2.56-2.84
Pd 0.5000 0.0703 0.2915  2 Sb 2.64-2.84, 5 Pd 2.71-2.94
Pd 0.5000 0.2915 0.0703  2 Sb 2.64-2.84, 5 Pd 2.71-2.94
Pd 0.5000 0.9297 0.7085  2 Sb 2.64-2.84, 5 Pd 2.71-2.94
Pd 0.5000 0.7085 0.9297  2 Sb 2.64-2.84, 5 Pd 2.71-2.94
Dy 0.0000 0.0000 0.0000  10 Pd 2.74-3.01
Sb 0.5000 0.6973 0.3027  7 Pd 2.56-2.84
Pd 0.0000 0.2106 0.7894  2 Sb 2.56, 1 Dy 2.74
Pd 0.5000 0.5000 0.5000  2 Sb 2.57, 4 Pd 2.79


[3]
Compound: Ac4Ge3Pt
Source: the Alexandria database
Functional: GGA-PBE
Structure: relaxed

E	-42.6	eV per cell
calculated volume	29.9	A^3/atom
space group	Pmm2, No. 25
spin magnetization	0.6	Bohr magnetons per cell

Lattice parameters (Å, degrees): 4.5716 4.3969 11.8980 90.00 90.00 90.00
With the nearest neighbours (Å) after each atom.
Fractional positions:
Ge 0.0000 0.5000 0.5711  2 Ge 2.77
Pt 0.5000 0.5000 0.0806  2 Ge 2.86
Ac 0.0000 0.5000 0.8647  5 Ge 3.26-3.49, 2 Pt 3.44
Ac 0.5000 0.5000 0.3536  1 Pt 3.25, 6 Ge 3.30-3.45
Ge 0.5000 0.0000 0.9273  2 Pt 2.86
Ac 0.0000 0.0000 0.1314  4 Pt 3.23, 3 Ge 3.34-3.55
Ac 0.5000 0.0000 0.6420  7 Ge 3.28-3.41
Ge 0.0000 0.0000 0.4294  2 Ge 2.77


[4]
Compound: HfSbRu2
Source: the Alexandria database
Functional: GGA-PBE
Structure: relaxed

raw formation energy	-0.465	eV/atom
calculated volume	16.9	A^3/atom
space group	P4/mmm, No. 123
spin magnetization	0.0	Bohr magnetons per cell

Lattice parameters (Å, degrees): 3.4862 4.4072 4.4072 90.00 90.00 90.00
With the nearest neighbours (Å) after each atom.
Fractional positions:
Ru 0.0000 0.0000 0.5000  4 Hf 2.81, 4 Sb 2.81, 4 Ru 3.12
Hf 0.5000 0.5000 0.5000  8 Ru 2.81, 4 Sb 3.12
Ru 0.0000 0.5000 0.0000  4 Hf 2.81, 4 Sb 2.81, 4 Ru 3.12
Sb 0.5000 0.0000 0.0000  8 Ru 2.81, 4 Hf 3.12


[5]
Compound: SrRe3
Source: the Alexandria database
Functional: GGA-PBE
Structure: relaxed

calculated volume	17.5	A^3/atom
energy relative to the lowest polymorph listed for this composition	370	meV/atom
space group	R-3m, No. 166
spin magnetization	0.0	Bohr magnetons per cell

Lattice parameters (Å, degrees): 5.5322 5.5322 5.5322 117.38 117.38 117.38
With the nearest neighbours (Å) after each atom.
Fractional positions:
Re 0.5000 0.0000 0.5000  6 Re 2.72-2.88, 2 Sr 2.88
Re 0.5000 0.5000 0.0000  6 Re 2.72-2.88, 2 Sr 2.88
Sr 0.0000 0.5000 0.5000  2 Sr 2.72, 6 Re 2.88
Re 0.0000 0.0000 0.0000  6 Re 2.72-2.88, 2 Sr 2.88


[6]
Compound: La8SnIr3Cl4
Source: the Alexandria database
Functional: GGA-PBE
Structure: relaxed

raw formation energy	-1.239	eV/atom
calculated volume	30.1	A^3/atom
space group	R-3m, No. 166
spin magnetization	0.0	Bohr magnetons per cell

Lattice parameters (Å, degrees): 8.6247 8.9919 8.6236 118.66 120.00 90.00
With the nearest neighbours (Å) after each atom.
Fractional positions:
Cl 0.5000 0.0000 0.0000  6 La 3.16
La 0.2866 0.2879 0.0373  2 Ir 2.88, 1 Sn 3.11, 1 Cl 3.16
Sn 0.0000 0.5000 0.0000  6 La 3.11
La 0.7369 0.7108 0.4738  3 Ir 2.95, 3 Cl 3.30
Ir 0.5000 0.5000 0.0000  6 La 2.88-2.95
La 0.2493 0.7121 0.9627  2 Ir 2.88, 1 Sn 3.11, 1 Cl 3.16
Ir 0.5000 0.5000 0.5000  6 La 2.88-2.95
Cl 0.0000 0.0000 0.5000  6 La 3.30-3.37
La 0.2631 0.2892 0.5262  3 Ir 2.95, 3 Cl 3.30
La 0.2494 0.7120 0.4988  2 Ir 2.88, 1 Sn 3.11, 1 Cl 3.16
Ir 0.0000 0.5000 0.5000  6 La 2.88-2.95
Cl 0.0000 0.0000 0.0000  6 La 3.30-3.36
La 0.7507 0.2879 0.0373  2 Ir 2.88, 1 Sn 3.11, 1 Cl 3.16
La 0.7134 0.7121 0.9627  2 Ir 2.88, 1 Sn 3.11, 1 Cl 3.16
Cl 0.5000 0.0000 0.5000  6 La 3.30-3.37
La 0.7506 0.2880 0.5012  2 Ir 2.88, 1 Sn 3.11, 1 Cl 3.16


[7]
Compound: Hf3AsIr
Source: the Alexandria database
Functional: GGA-PBE
Structure: relaxed

calculated volume	25.1	A^3/atom
energy relative to the lowest polymorph listed for this composition	0	meV/atom
space group	Pm-3m, No. 221
spin magnetization	0.0	Bohr magnetons per cell

Lattice parameters (Å, degrees): 5.0040 5.0040 5.0040 90.00 90.00 90.00
With the nearest neighbours (Å) after each atom.
Fractional positions:
Hf 0.0000 0.5000 0.0000  2 Ir 2.50
Ir 0.0000 0.0000 0.0000  6 Hf 2.50
Hf 0.5000 0.0000 0.0000  2 Ir 2.50
Hf 0.0000 0.0000 0.5000  2 Ir 2.50
As 0.5000 0.5000 0.5000  12 Hf 3.54


[8]
Compound: AsPb2Au
Source: the Alexandria database
Functional: GGA-PBE
Structure: relaxed

E	-14.4	eV per cell
calculated volume	25.3	A^3/atom
space group	F-43m, No. 216
spin magnetization	0.0	Bohr magnetons per cell

Lattice parameters (Å, degrees): 5.2287 5.2287 5.2287 60.00 60.00 60.00
With the nearest neighbours (Å) after each atom.
Fractional positions:
Au 0.7500 0.7500 0.7500  4 As 3.20, 4 Pb 3.20
Pb 0.2500 0.2500 0.2500  4 As 3.20, 4 Pb 3.20
As 0.5000 0.5000 0.5000  4 Pb 3.20, 4 Au 3.20
Pb 0.0000 0.0000 0.0000  4 Pb 3.20, 4 Au 3.20


[9]
Compound: CdFeTe2
Source: the Alexandria database
Functional: GGA-PBE
Structure: relaxed

raw formation energy	0.463	eV/atom
calculated volume	23.5	A^3/atom
space group	P4/mmm, No. 123
spin magnetization	3.2	Bohr magnetons per cell

Lattice parameters (Å, degrees): 3.5991 5.1064 5.1064 90.00 90.00 90.00
With the nearest neighbours (Å) after each atom.
Fractional positions:
Te 0.0000 0.0000 0.0000  4 Cd 3.12, 4 Fe 3.12
Fe 0.5000 0.0000 0.5000  8 Te 3.12
Te 0.0000 0.5000 0.5000  4 Cd 3.12, 4 Fe 3.12
Cd 0.5000 0.5000 0.0000  8 Te 3.12


[10]
Compound: ThSc2Tl3Se6
Source: the Alexandria database
Functional: GGA-PBE
Structure: relaxed

raw formation energy	-1.228	eV/atom
calculated volume	28.5	A^3/atom
space group	C2/m, No. 12
spin magnetization	0.0	Bohr magnetons per cell

Lattice parameters (Å, degrees): 6.9824 6.9824 8.4327 98.04 98.04 119.99
With the nearest neighbours (Å) after each atom.
Fractional positions:
Sc 0.3332 0.6668 0.0000  6 Se 2.76-2.77
Se 0.4160 0.0657 0.1949  2 Sc 2.76-2.77, 1 Th 2.91
Th 0.0000 0.0000 0.0000  6 Se 2.90-2.91
Se 0.9343 0.5840 0.8051  2 Sc 2.76-2.77, 1 Th 2.91
Se 0.5840 0.9343 0.8051  2 Sc 2.76-2.77, 1 Th 2.91
Tl 0.8365 0.1635 0.5000  6 Se 3.33-3.45
Tl 0.5000 0.5000 0.5000  6 Se 3.34-3.43
Se 0.7145 0.7145 0.1928  2 Sc 2.76, 1 Th 2.90
Sc 0.6668 0.3332 0.0000  6 Se 2.76-2.77
Se 0.2855 0.2855 0.8072  2 Sc 2.76, 1 Th 2.90
Se 0.0657 0.4160 0.1949  2 Sc 2.76-2.77, 1 Th 2.91
Tl 0.1635 0.8365 0.5000  6 Se 3.33-3.45


[11]
Compound: MnSbRu2
Source: the Alexandria database
Functional: GGA-PBE
Structure: relaxed

raw formation energy	0.088	eV/atom
calculated volume	15.2	A^3/atom
space group	I-4m2, No. 119
spin magnetization	2.6	Bohr magnetons per cell

Lattice parameters (Å, degrees): 4.8826 4.8826 4.8826 133.20 133.16 68.37
With the nearest neighbours (Å) after each atom.
Fractional positions:
Mn 0.2499 0.7499 0.5000  8 Ru 2.74-2.80, 4 Sb 2.80
Ru 0.0001 0.0001 0.0000  4 Sb 2.74, 4 Mn 2.80, 4 Ru 2.80
Sb 0.5000 0.5000 0.0000  8 Ru 2.74-2.80, 4 Mn 2.80
Ru 0.7500 0.2500 0.5000  4 Mn 2.74, 4 Sb 2.80, 4 Ru 2.80


[12]
Compound: LiSm3Al2
Source: the Alexandria database
Functional: GGA-PBE
Structure: relaxed

calculated volume	25.7	A^3/atom
energy relative to the lowest polymorph listed for this composition	19	meV/atom
space group	P4/mmm, No. 123
spin magnetization	0.0	Bohr magnetons per cell

Lattice parameters (Å, degrees): 3.6631 3.6631 11.4733 90.00 90.00 90.00
With the nearest neighbours (Å) after each atom.
Fractional positions:
Sm 0.0000 0.0000 0.3194  4 Al 3.13, 4 Li 3.32
Al 0.5000 0.5000 0.8342  8 Sm 3.13-3.21
Sm 0.0000 0.0000 0.0000  8 Al 3.21
Li 0.5000 0.5000 0.5000  8 Sm 3.32, 4 Li 3.66
Al 0.5000 0.5000 0.1658  8 Sm 3.13-3.21
Sm 0.0000 0.0000 0.6806  4 Al 3.13, 4 Li 3.32